(1)
Cs3HoBi2O8 GGA-PBE relaxed; total magnetic moment = 0.1 μB/f.u.; E_form (uncorrected) = -1.520 eV/atom; calculated density = 5938 kg/m³
1.0
6.4715 0.0000 0.0000
-3.2358 5.6045 0.0000
0.0000 0.0000 8.5552
O Ho Bi Cs
8 1 2 3
Direct
0.1626 0.8374 0.3432
0.3253 0.1626 0.6568
0.6667 0.3333 0.9761
0.1626 0.3253 0.3432
0.8374 0.1626 0.6568
0.6747 0.8374 0.3432
0.8374 0.6747 0.6568
0.3333 0.6667 0.0239
0.0000 0.0000 0.5000
0.3333 0.6667 0.2571
0.6667 0.3333 0.7429
0.6667 0.3333 0.3018
0.0000 0.0000 0.0000
0.3333 0.6667 0.6982

---

(2)
Cs2Ho2BiO6 GGA-PBE relaxed; total magnetic moment = 0.8 μB/f.u.; E_form (uncorrected) = -2.244 eV/atom; calculated density = 6660 kg/m³
1.0
6.0614 -0.0188 0.0626
-3.0122 5.2600 0.0626
-1.0776 -1.8523 7.0111
Ho O Cs Bi
2 6 2 1
Direct
0.3343 0.6657 0.5000
0.6657 0.3343 0.5000
0.7216 0.7216 0.6592
0.2784 0.2784 0.3408
0.3880 0.0488 0.6592
0.9512 0.6120 0.3408
0.0488 0.3880 0.6592
0.6120 0.9512 0.3408
0.8334 0.1666 0.0000
0.1666 0.8334 0.0000
0.0000 0.0000 0.5000

---

(3)
Cs3HoBi2S6 GGA-PBE relaxed; total magnetic moment = 0.0 μB/f.u.; E_form (uncorrected) = -1.122 eV/atom; calculated density = 5311 kg/m³
1.0
7.2560 -0.0004 0.0009
-3.6266 6.2847 0.0009
-1.2096 -2.0944 8.0488
Ho Bi Cs S
1 2 3 6
Direct
0.0000 0.0000 0.0000
0.3336 0.6664 0.0000
0.6664 0.3336 0.0000
0.8306 0.1694 0.5000
0.5000 0.5000 0.5000
0.1694 0.8306 0.5000
0.2614 0.2614 0.8133
0.3855 0.0618 0.1857
0.7386 0.7386 0.1867
0.6145 0.9382 0.8143
0.9382 0.6145 0.8143
0.0618 0.3855 0.1857

---

(4)
Cs3Ho3BiSe8 GGA-PBE relaxed; total magnetic moment = 0.0 μB/f.u.; E_form (uncorrected) = -1.422 eV/atom; calculated density = 5517 kg/m³
1.0
8.3884 0.0014 -0.0004
-4.1929 7.2701 -0.0304
-0.0012 -4.8159 8.5789
Se Ho Cs Bi
8 3 3 1
Direct
0.7225 0.9542 0.6855
0.2317 0.4634 0.6856
0.7683 0.5366 0.3144
0.2317 0.9542 0.6855
0.7281 0.4561 0.6840
0.7683 0.0458 0.3145
0.2719 0.5439 0.3160
0.2775 0.0458 0.3145
0.5000 0.5000 0.5000
0.5000 0.0000 0.5000
0.0000 0.5000 0.5000
0.0000 0.5000 0.0000
0.5000 0.5000 0.0000
0.0000 0.0000 0.0000
0.0000 0.0000 0.5000

---

(5)
Cs3Ho2BiTe6 GGA-PBE relaxed; total magnetic moment = 0.0 μB/f.u.; E_form (uncorrected) = -1.124 eV/atom; calculated density = 5802 kg/m³
1.0
7.9498 -0.0009 0.0005
-3.9738 6.8854 0.0005
-1.3252 -2.2946 8.9047
Ho Cs Te Bi
2 3 6 1
Direct
0.3331 0.6669 0.0000
0.6669 0.3331 0.0000
0.5000 0.5000 0.5000
0.1648 0.8352 0.5000
0.8352 0.1648 0.5000
0.9367 0.5969 0.8103
0.4031 0.0633 0.1897
0.2769 0.2769 0.8109
0.7231 0.7231 0.1891
0.5969 0.9367 0.8103
0.0633 0.4031 0.1897
0.0000 0.0000 0.0000

---

(6)
Cs3Ho3BiTe8 GGA-PBE relaxed; total magnetic moment = 0.0 μB/f.u.; E_form (uncorrected) = -1.114 eV/atom; calculated density = 5591 kg/m³
1.0
8.8910 0.0000 0.0000
-4.4455 7.7327 -0.0441
0.0000 -5.1284 9.2021
Te Cs Ho Bi
8 3 3 1
Direct
0.2357 0.4715 0.6911
0.7301 0.4602 0.6899
0.7643 0.5285 0.3089
0.2699 0.5398 0.3101
0.2799 0.0443 0.3091
0.7644 0.0443 0.3091
0.2356 0.9557 0.6909
0.7201 0.9557 0.6909
0.5000 0.5000 0.0000
0.0000 0.5000 0.0000
0.0000 0.0000 0.0000
0.0000 0.5000 0.5000
0.5000 0.0000 0.5000
0.5000 0.5000 0.5000
0.0000 0.0000 0.5000

---

(7)
CsBi2I7 GGA-PBE relaxed; total magnetic moment = 0.0 μB/f.u.; E_form (uncorrected) = -0.588 eV/atom; calculated density = 4866 kg/m³
1.0
6.1895 0.0000 0.0000
0.0000 9.3857 0.0865
0.0000 -4.1572 8.4153
I Cs Bi
7 1 2
Direct
0.5000 0.0556 0.3255
0.0000 0.2706 0.7294
0.5000 0.9444 0.6745
0.5000 0.3255 0.0556
0.5000 0.5000 0.5000
0.5000 0.6745 0.9444
0.0000 0.7294 0.2706
0.0000 0.0000 0.0000
0.5000 0.7086 0.2914
0.5000 0.2914 0.7086

---

(8)
Cs2BiI GGA-PBE relaxed; total magnetic moment = 0.0 μB/f.u.; E_form (uncorrected) = -0.638 eV/atom; calculated density = 4669 kg/m³; polymorph energy (0 for the lowest one) = 0.0 meV/atom
1.0
-3.1877 -2.4388 2.2749
4.0171 -1.9724 -1.1618
2.9748 5.5206 10.0866
I Cs Bi
1 2 1
Direct
0.5847 0.9245 0.5523
0.8414 0.4395 0.3229
0.3274 0.4102 0.7816
0.0830 0.9247 0.0522